No. 1
Material: DyHo2Al3AgPd2
Method: DFT, GGA-PBE
State: relaxed

- E_tot: -4.95 eV per atom
- SG: Amm2 (38)

Cell lengths 3.877, 7.372, 7.372 Å; angles 120.06, 90.00, 90.00 degrees
Element x y z (fractional)
1 Dy 0.000 0.000 0.000
2 Ho 0.000 0.415 0.829
3 Ho 0.000 0.829 0.415
4 Al 0.500 0.159 0.415
5 Al 0.500 0.415 0.159
6 Al 0.500 0.670 0.670
7 Ag 0.000 0.415 0.415
8 Pd 0.500 0.082 0.747
9 Pd 0.500 0.747 0.082

No. 2
Material: PrTaO4
Method: DFT, GGA-PBE
State: relaxed

- E_tot: -9.26 eV per atom
- SG: P2_1/c (14)

Cell lengths 7.588, 5.513, 7.747 Å; angles 90.00, 100.28, 90.00 degrees
Element x y z (fractional)
1 Pr 0.154 0.224 0.401
2 Pr 0.154 0.276 0.901
3 Pr 0.846 0.724 0.099
4 Pr 0.846 0.776 0.599
5 Ta 0.334 0.732 0.197
6 Ta 0.334 0.768 0.697
7 Ta 0.666 0.232 0.303
8 Ta 0.666 0.268 0.803
9 O 0.116 0.513 0.168
10 O 0.116 0.987 0.668
11 O 0.165 0.510 0.631
12 O 0.165 0.990 0.131
13 O 0.335 0.652 0.945
14 O 0.335 0.848 0.445
15 O 0.440 0.092 0.799
16 O 0.440 0.408 0.299
17 O 0.560 0.592 0.701
18 O 0.560 0.908 0.201
19 O 0.665 0.152 0.555
20 O 0.665 0.348 0.055
21 O 0.835 0.010 0.869
22 O 0.835 0.490 0.369
23 O 0.884 0.013 0.332
24 O 0.884 0.487 0.832